CrSnO2 (GGA+U, relaxed); excess energy over the best structure of this formula in the dataset = 1.488 eV per atom
1.0
5.7885 0.0000 0.0000
0.0000 5.7885 0.0000
0.0000 0.0000 5.7885
Cr Sn O
4 4 8
direct
0.0000 0.0000 0.0000
0.0000 0.5000 0.5000
0.5000 0.0000 0.5000
0.5000 0.5000 0.0000
0.0000 0.0000 0.5000
0.0000 0.5000 0.0000
0.5000 0.0000 0.0000
0.5000 0.5000 0.5000
0.2500 0.2500 0.2500
0.2500 0.2500 0.7500
0.2500 0.7500 0.2500
0.2500 0.7500 0.7500
0.7500 0.2500 0.2500
0.7500 0.2500 0.7500
0.7500 0.7500 0.2500
0.7500 0.7500 0.7500